AcNd6Sm2Er | PBE | optimized geometry

Its symmetry is C2/c. The size of the total moment comes out at 0.000 μB/f.u. For the energy of formation from the pure elements, the calculation gives 0.117 eV per atom. The value obtained for the density is 7.23 g cm⁻³. As for the uncorrected energy: -4.555 eV/atom.

Lattice parameters (Å, degrees): 9.7942 9.1290 9.1290 118.07 93.01 93.01
With the nearest neighbours (Å) after each atom.
Sites, in units of the cell vectors:
Nd 0.1167 0.7109 0.4964  3 Sm 3.34-3.51, 4 Nd 3.35-3.62, 2 Er 3.50-3.64
Ac 0.7500 0.0241 0.9759  4 Sm 3.54-3.63, 4 Nd 3.75-3.85
Ac 0.2500 0.9759 0.0241  4 Sm 3.54-3.63, 4 Nd 3.75-3.85
Sm 0.4538 0.7977 0.6842  6 Nd 3.34-3.69, 2 Ac 3.54-3.63, 1 Er 3.65
Nd 0.1884 0.5617 0.0118  4 Nd 3.35-3.72, 2 Sm 3.49-3.69, 1 Er 3.55, 1 Ac 3.75
Nd 0.3833 0.5036 0.2891  3 Sm 3.34-3.51, 4 Nd 3.35-3.62, 2 Er 3.50-3.64
Sm 0.0462 0.3158 0.2023  6 Nd 3.34-3.69, 2 Ac 3.54-3.63, 1 Er 3.65
Er 0.7500 0.5877 0.4123  6 Nd 3.50-3.64, 4 Sm 3.65-3.89
Nd 0.3116 0.9882 0.4383  4 Nd 3.35-3.72, 2 Sm 3.49-3.69, 1 Er 3.55, 1 Ac 3.75
Er 0.2500 0.4123 0.5877  6 Nd 3.50-3.64, 4 Sm 3.65-3.89
Nd 0.4455 0.2473 0.8703  7 Nd 3.53-3.88, 1 Sm 3.64, 1 Ac 3.85
Nd 0.8833 0.2891 0.5036  3 Sm 3.34-3.51, 4 Nd 3.35-3.62, 2 Er 3.50-3.64
Nd 0.6167 0.4964 0.7109  3 Sm 3.34-3.51, 4 Nd 3.35-3.62, 2 Er 3.50-3.64
Nd 0.5545 0.7527 0.1297  7 Nd 3.53-3.88, 1 Sm 3.64, 1 Ac 3.85
Nd 0.9455 0.8703 0.2473  7 Nd 3.53-3.88, 1 Sm 3.64, 1 Ac 3.85
Nd 0.0545 0.1297 0.7527  7 Nd 3.53-3.88, 1 Sm 3.64, 1 Ac 3.85
Sm 0.9538 0.6842 0.7977  6 Nd 3.34-3.69, 2 Ac 3.54-3.63, 1 Er 3.65
Sm 0.5462 0.2023 0.3158  6 Nd 3.34-3.69, 2 Ac 3.54-3.63, 1 Er 3.65
Nd 0.8116 0.4383 0.9882  4 Nd 3.35-3.72, 2 Sm 3.49-3.69, 1 Er 3.55, 1 Ac 3.75
Nd 0.6884 0.0118 0.5617  4 Nd 3.35-3.72, 2 Sm 3.49-3.69, 1 Er 3.55, 1 Ac 3.75